A plane-wave DFT calculation with GGA-PBE was carried out for a relaxed BeZn2Tc crystal.

Lattice parameters (Å, degrees): 4.9003 4.9003 4.7385 64.20 64.20 30.89
Fractional coordinates of all 4 atoms:
Be1 0.5007 0.5007 0.5970
Zn1 0.9992 0.9992 0.0748
Zn2 0.2406 0.2406 0.1760
Tc1 0.7595 0.7595 0.6521

The value obtained for the energy of formation is 22 kJ/mol of formula units.

***

A plane-wave DFT calculation with GGA-PBE was carried out for a relaxed GdTiRh2 crystal.

Lattice parameters (Å, degrees): 3.1540 3.1540 7.1096 90.00 90.00 90.00
Fractional coordinates of all 4 atoms:
Gd1 0.5000 0.5000 0.5000
Rh1 0.0000 0.0000 0.7935
Rh2 0.0000 0.0000 0.2065
Ti1 0.5000 0.5000 0.0000

The value obtained for the energy of formation is -282 kJ/mol of formula units.

***

A plane-wave DFT calculation with GGA-PBE was carried out for a relaxed HoTi4Ir5 crystal.

Lattice parameters (Å, degrees): 3.1092 3.1092 16.6338 90.00 90.00 90.00
Fractional coordinates of all 10 atoms:
Ho1 0.0000 0.0000 0.0000
Ti1 0.0000 0.0000 0.2164
Ti2 0.0000 0.0000 0.4066
Ti3 0.0000 0.0000 0.5934
Ti4 0.0000 0.0000 0.7836
Ir1 0.5000 0.5000 0.1295
Ir2 0.5000 0.5000 0.3154
Ir3 0.5000 0.5000 0.5000
Ir4 0.5000 0.5000 0.6846
Ir5 0.5000 0.5000 0.8705

The value obtained for the energy of formation is -790 kJ/mol of formula units.

***

A plane-wave DFT calculation with GGA-PBE was carried out for a relaxed BaHS crystal.

Lattice parameters (Å, degrees): 7.7417 4.4702 11.1241 90.00 134.09 90.00
Fractional coordinates of all 12 atoms:
H1 0.3035 0.0000 0.5882
H2 0.3035 0.5000 0.0882
H3 0.4000 0.0000 0.6848
H4 0.4000 0.5000 0.1848
S1 0.4359 0.0000 0.3850
S2 0.4359 0.5000 0.8850
S3 0.9424 0.0000 0.8915
S4 0.9424 0.5000 0.3915
Ba1 0.0126 0.0000 0.6384
Ba2 0.0126 0.5000 0.1384
Ba3 0.5355 0.0000 0.1384
Ba4 0.5355 0.5000 0.6384

***

Number 1: total DFT energy (no corrections) -16.41 eV per formula unit. Number 2: total DFT energy (no corrections) -39.60 eV per formula unit. Number 3: total DFT energy (no corrections) -88.65 eV per formula unit. Number 4: total DFT energy (no corrections) -13.19 eV per formula unit.